A plane-wave DFT calculation with PBE-GGA was carried out for an optimized crystal structure of Sc2AlGa2.

Results
DFT total energy (eV/atom): -5.09
Total magnetic moment (μB per formula unit): 0.0
Symmetry: P4/mbm (127)
Density of states at the Fermi level (states/eV per cell): 5.11
Polymorph energy (0 for the lowest one) (meV/atom): 0
Formation enthalpy at 0 K (eV/atom): -0.595

Cell lengths 6.7263, 6.7263, 4.1773 Å; angles 90.00, 90.00, 90.00 degrees
With the nearest neighbours (Å) after each atom.
Atoms (fractional coordinates):
Sc: 0.1711 0.3289 0.0000  6 Ga 2.81-2.93
Sc: 0.3289 0.8289 0.0000  6 Ga 2.81-2.93
Sc: 0.6711 0.1711 0.0000  6 Ga 2.81-2.93
Sc: 0.8289 0.6711 0.0000  6 Ga 2.81-2.93
Al: 0.0000 0.0000 0.5000  4 Ga 2.63
Al: 0.5000 0.5000 0.5000  4 Ga 2.63
Ga: 0.1320 0.6320 0.5000  1 Ga 2.51, 2 Al 2.63, 2 Sc 2.81
Ga: 0.3680 0.1320 0.5000  1 Ga 2.51, 2 Al 2.63, 2 Sc 2.81
Ga: 0.6320 0.8680 0.5000  1 Ga 2.51, 2 Al 2.63, 2 Sc 2.81
Ga: 0.8680 0.3680 0.5000  1 Ga 2.51, 2 Al 2.63, 2 Sc 2.81